VASP calculation (PBE) on a relaxed Cs3RbRe crystal.

Cell lengths 6.615, 6.615, 6.615 Å; angles 90.00, 90.00, 90.00 degrees
Atoms (fractional coordinates):
Cs  0.000  0.500  0.000
Cs  0.000  0.000  0.500
Cs  0.500  0.000  0.000
Rb  0.500  0.500  0.500
Re  0.000  0.000  0.000

**Volume**: 57.90 Å³/atom
**Crystal system**: cubic
**ΔH_f (0 K)**: 1.366 eV per atom
**Density of states at the Fermi level**: 8.58 states/eV/cell
**Final energy**: -1.83 eV/atom